# 1
ScTiCu | PBE-GGA | relaxed

Output
theoretical density	5.0	g/cm³
space-group type	Cm (8)
calculated formation energy	-0.04	eV/atom

Cell: 14.2622 3.1022 4.7155 Å, 90.00 91.11 90.00°
Sites, in units of the cell vectors:
Sc 0.0000 0.0000 0.0000
Sc 0.1962 0.5000 0.0211
Sc 0.5000 0.5000 0.0000
Sc 0.6962 0.0000 0.0211
Ti 0.0496 0.5000 0.5058
Ti 0.3690 0.5000 0.4672
Ti 0.5496 0.0000 0.5058
Ti 0.8690 0.0000 0.4672
Cu 0.2071 0.0000 0.5285
Cu 0.3475 0.0000 0.9209
Cu 0.7071 0.5000 0.5285
Cu 0.8475 0.5000 0.9209

***

# 2
KCd3InHg | PBE-GGA | relaxed

Output
theoretical density	6.5	g/cm³
space-group type	Cmcm (63)
calculated formation energy	-0.02	eV/atom

Cell: 8.5417 8.5417 6.3476 Å, 90.00 90.00 129.89°
Sites, in units of the cell vectors:
K 0.1974 0.8026 0.7500
K 0.8026 0.1974 0.2500
Cd 0.1997 0.1997 0.0000
Cd 0.1997 0.1997 0.5000
Cd 0.3730 0.6270 0.2500
Cd 0.6270 0.3730 0.7500
Cd 0.8003 0.8003 0.0000
Cd 0.8003 0.8003 0.5000
In 0.4094 0.5906 0.7500
In 0.5906 0.4094 0.2500
Hg 0.1651 0.8349 0.2500
Hg 0.8349 0.1651 0.7500

***

# 3
Er2PuGa9 | PBE-GGA | relaxed

Output
theoretical density	8.7	g/cm³
space-group type	P4/mmm (123)
calculated formation energy	-0.48	eV/atom

Cell: 4.2559 4.2559 12.7810 Å, 90.00 90.00 90.00°
Sites, in units of the cell vectors:
Er 0.0000 0.0000 0.1651
Er 0.0000 0.0000 0.8349
Pu 0.0000 0.0000 0.5000
Ga 0.0000 0.5000 0.0000
Ga 0.0000 0.5000 0.3337
Ga 0.0000 0.5000 0.6663
Ga 0.5000 0.0000 0.0000
Ga 0.5000 0.0000 0.3337
Ga 0.5000 0.0000 0.6663
Ga 0.5000 0.5000 0.1683
Ga 0.5000 0.5000 0.5000
Ga 0.5000 0.5000 0.8317

***

# 4
CaNi2MoPd | PBE-GGA | relaxed

Output
theoretical density	5.6	g/cm³
space-group type	P4/mmm (123)
calculated formation energy	0.95	eV/atom

Cell: 4.7575 4.7575 4.7057 Å, 90.00 90.00 90.00°
Sites, in units of the cell vectors:
Ca 0.0000 0.0000 0.0000
Ni 0.0000 0.5000 0.5000
Ni 0.5000 0.0000 0.5000
Mo 0.5000 0.5000 0.0000
Pd 0.5000 0.5000 0.5000